(1)
A relaxed structure of BeVCuRu, computed with PBE.

a b c (Å): 4.086 4.086 4.086
angles (deg): 60.00 60.00 60.00
Positions (direct):
V1 0.750 0.750 0.750
Be1 0.250 0.250 0.250
Ru1 0.000 0.000 0.000
Cu1 0.500 0.500 0.500

## Properties
- total magnetic moment (μB per cell) = 0.004
- DFT formation energy (eV per atom) = -0.0878


(2)
A relaxed structure of BeCuS3, computed with PBE.

a b c (Å): 4.467 4.467 4.467
angles (deg): 90.00 90.00 90.00
Positions (direct):
Be1 0.500 0.500 0.500
S1 0.000 0.500 0.000
S2 0.000 0.000 0.500
S3 0.500 0.000 0.000
Cu1 0.000 0.000 0.000

## Properties
- energy relative to the elements, uncorrected (eV/atom) = 0.926
- offset from the most stable computed form (meV/atom) = 375.7
- total magnetic moment (μB per cell) = 0.000


(3)
A relaxed structure of BeCu4S2, computed with PBE.

a b c (Å): 4.175 4.175 6.623
angles (deg): 71.63 71.63 90.00
Positions (direct):
Be1 0.000 0.000 0.000
Cu1 0.500 0.000 0.000
Cu2 0.825 0.825 0.351
Cu3 0.175 0.175 0.649
Cu4 0.000 0.500 0.000
S1 0.364 0.364 0.271
S2 0.636 0.636 0.729

## Properties
- energy relative to the elements, uncorrected (eV/atom) = 0.384
- total magnetic moment (μB per cell) = 0.000


(4)
A relaxed structure of Be2CuS, computed with PBE.

a b c (Å): 5.430 5.430 5.477
angles (deg): 60.29 60.29 90.00
Positions (direct):
Be1 0.158 0.625 0.250
Be2 0.592 0.125 0.250
Be3 0.375 0.408 0.750
Be4 0.875 0.842 0.750
Cu1 0.000 0.000 0.000
Cu2 0.750 0.250 0.500
S1 0.500 0.500 0.000
S2 0.250 0.750 0.500

## Properties
- energy relative to the elements, uncorrected (eV/atom) = 0.139
- total magnetic moment (μB per cell) = 0.000


(5)
A relaxed structure of BeCuS3, computed with PBE.

a b c (Å): 4.282 4.282 4.282
angles (deg): 90.00 90.00 90.00
Positions (direct):
Cu1 0.500 0.500 0.500
S1 0.500 0.000 0.000
S2 0.000 0.000 0.500
S3 0.000 0.500 0.000
Be1 0.000 0.000 0.000

## Properties
- energy relative to the elements, uncorrected (eV/atom) = 0.551
- offset from the most stable computed form (meV/atom) = 0.0
- total magnetic moment (μB per cell) = 0.000


(6)
A relaxed structure of ScBeCu2S, computed with PBE.

a b c (Å): 4.067 4.520 4.067
angles (deg): 90.00 90.00 90.00
Positions (direct):
Cu1 0.000 0.000 0.500
Cu2 0.500 0.000 0.000
Be1 0.000 0.000 0.000
S1 0.000 0.500 0.000
Sc1 0.500 0.500 0.500

## Properties
- energy relative to the elements, uncorrected (eV/atom) = -0.027
- total magnetic moment (μB per cell) = 0.000


(7)
A relaxed structure of Ta2BeCuS, computed with PBE.

a b c (Å): 4.539 4.144 4.539
angles (deg): 90.00 90.00 90.00
Positions (direct):
Ta1 0.000 0.000 0.500
Ta2 0.500 0.000 0.000
Cu1 0.000 0.500 0.000
S1 0.000 0.000 0.000
Be1 0.500 0.500 0.500

## Properties
- energy relative to the elements, uncorrected (eV/atom) = 0.621
- total magnetic moment (μB per cell) = 0.000


(8)
A relaxed structure of BeCuTc2S, computed with PBE.

a b c (Å): 4.591 3.707 4.591
angles (deg): 90.00 90.00 90.00
Each line ends with the local moment (μB).
Positions (direct):
Be1 0.000 0.500 0.000  -0.05
S1 0.500 0.500 0.500  -0.03
Tc1 0.500 0.000 0.000  0.97
Tc2 0.000 0.000 0.500  1.26
Cu1 0.000 0.000 0.000  0.07

## Properties
- energy relative to the elements, uncorrected (eV/atom) = 1.340
- total magnetic moment (μB per cell) = 2.431


(9)
A relaxed structure of BeZnCuTeS, computed with PBE.

a b c (Å): 3.749 5.034 5.541
angles (deg): 91.54 104.93 92.63
Positions (direct):
Be1 0.454 0.479 0.866
Te1 0.399 0.085 0.559
Zn1 0.037 0.055 0.934
S1 0.027 0.585 0.036
Cu1 0.242 0.574 0.462

## Properties
- energy relative to the elements, uncorrected (eV/atom) = -0.074
- offset from the most stable computed form (meV/atom) = 149.4
- total magnetic moment (μB per cell) = 0.000


(10)
A relaxed structure of BeZnCuTeS, computed with PBE.

a b c (Å): 6.159 4.027 10.014
angles (deg): 90.00 126.18 90.00
Positions (direct):
Zn1 0.631 0.500 0.184
Zn2 0.631 0.000 0.684
Te1 0.082 0.500 0.916
Te2 0.082 0.000 0.416
S1 0.514 0.000 0.868
S2 0.514 0.500 0.368
Cu1 0.737 0.000 0.486
Cu2 0.737 0.500 0.986
Be1 0.115 0.500 0.284
Be2 0.115 0.000 0.784

## Properties
- energy relative to the elements, uncorrected (eV/atom) = -0.137
- offset from the most stable computed form (meV/atom) = 85.7
- total magnetic moment (μB per cell) = 0.000


(11)
A relaxed structure of BeZnCuTeS, computed with PBE.

a b c (Å): 3.961 5.106 6.113
angles (deg): 71.93 71.03 67.02
Positions (direct):
Cu1 0.665 0.245 0.608
S1 0.385 0.561 0.852
Be1 0.343 0.923 0.575
Te1 0.972 0.922 0.319
Zn1 0.016 0.269 0.884

## Properties
- energy relative to the elements, uncorrected (eV/atom) = -0.223
- offset from the most stable computed form (meV/atom) = 0.0
- total magnetic moment (μB per cell) = 0.000


(12)
A relaxed structure of BeZnCuTeS, computed with PBE.

a b c (Å): 3.741 3.741 8.388
angles (deg): 89.87 90.05 60.03
Positions (direct):
Te1 0.143 0.492 0.710
Be1 0.479 0.822 0.213
Zn1 0.477 0.824 0.894
S1 0.146 0.488 0.293
Cu1 0.145 0.490 0.032

## Properties
- energy relative to the elements, uncorrected (eV/atom) = -0.197
- offset from the most stable computed form (meV/atom) = 26.2
- total magnetic moment (μB per cell) = 0.000


(13)
A relaxed structure of BeZnCuTeS, computed with PBE.

a b c (Å): 3.277 5.911 6.387
angles (deg): 79.53 74.76 73.61
Positions (direct):
Be1 0.765 0.171 0.618
S1 0.210 0.371 0.528
Zn1 0.481 0.044 0.317
Cu1 0.017 0.770 0.519
Te1 0.764 0.866 0.938

## Properties
- energy relative to the elements, uncorrected (eV/atom) = -0.193
- offset from the most stable computed form (meV/atom) = 30.3
- total magnetic moment (μB per cell) = 0.000


(14)
A relaxed structure of BeZnCuTeS, computed with PBE.

a b c (Å): 7.806 3.251 11.567
angles (deg): 90.00 129.24 90.00
Positions (direct):
Zn1 0.874 0.500 0.476
Zn2 0.874 0.000 0.976
S1 0.916 0.000 0.792
S2 0.916 0.500 0.292
Be1 0.013 0.000 0.243
Be2 0.013 0.500 0.743
Te1 0.350 0.000 0.268
Te2 0.350 0.500 0.768
Cu1 0.705 0.500 0.040
Cu2 0.705 0.000 0.540

## Properties
- energy relative to the elements, uncorrected (eV/atom) = -0.220
- offset from the most stable computed form (meV/atom) = 2.8
- total magnetic moment (μB per cell) = 0.000


(15)
A relaxed structure of BeZnCuTeS, computed with PBE.

a b c (Å): 3.778 4.279 6.393
angles (deg): 90.77 93.80 108.71
Positions (direct):
S1 0.152 0.485 0.958
Be1 0.723 0.651 0.071
Zn1 0.554 0.001 0.784
Te1 0.846 0.735 0.447
Cu1 0.203 0.349 0.599

## Properties
- energy relative to the elements, uncorrected (eV/atom) = -0.060
- offset from the most stable computed form (meV/atom) = 163.4
- total magnetic moment (μB per cell) = 0.000


(16)
A relaxed structure of BeZnCuTeS, computed with PBE.

a b c (Å): 5.188 3.846 5.501
angles (deg): 90.00 94.65 90.00
Positions (direct):
S1 0.555 0.500 0.978
Cu1 0.312 0.000 0.076
Te1 0.085 0.000 0.502
Zn1 0.854 0.000 0.975
Be1 0.274 0.500 0.706

## Properties
- energy relative to the elements, uncorrected (eV/atom) = -0.154
- offset from the most stable computed form (meV/atom) = 69.4
- total magnetic moment (μB per cell) = 0.000


(17)
A relaxed structure of BeZnCuTeS, computed with PBE.

a b c (Å): 3.375 3.377 10.039
angles (deg): 80.73 82.67 62.07
Positions (direct):
Be1 0.383 0.228 0.222
Te1 0.833 0.779 0.688
Zn1 0.442 0.347 0.895
S1 0.708 0.542 0.283
Cu1 0.750 0.625 0.053

## Properties
- energy relative to the elements, uncorrected (eV/atom) = -0.222
- offset from the most stable computed form (meV/atom) = 1.2
- total magnetic moment (μB per cell) = 0.000


(18)
A relaxed structure of BeZnCuTeS, computed with PBE.

a b c (Å): 4.286 3.908 5.950
angles (deg): 90.00 103.06 90.00
Positions (direct):
S1 0.907 0.500 0.507
Cu1 0.197 0.000 0.472
Be1 0.448 0.500 0.310
Te1 0.325 0.000 0.050
Zn1 0.743 0.000 0.741

## Properties
- energy relative to the elements, uncorrected (eV/atom) = -0.151
- offset from the most stable computed form (meV/atom) = 72.6
- total magnetic moment (μB per cell) = 0.000


(19)
A relaxed structure of BeZnCuTeS, computed with PBE.

a b c (Å): 3.821 4.170 5.793
angles (deg): 90.00 90.00 90.00
Positions (direct):
S1 0.000 0.000 0.588
Te1 0.500 0.500 0.049
Zn1 0.000 0.000 0.110
Be1 0.500 0.000 0.779
Cu1 0.000 0.500 0.395

## Properties
- energy relative to the elements, uncorrected (eV/atom) = -0.125
- offset from the most stable computed form (meV/atom) = 98.3
- total magnetic moment (μB per cell) = 0.000


(20)
A relaxed structure of BeZnCuTeS, computed with PBE.

a b c (Å): 3.720 4.184 5.642
angles (deg): 90.00 95.64 90.00
Positions (direct):
Be1 0.275 0.500 0.134
Te1 0.143 0.000 0.409
Cu1 0.616 0.500 0.506
S1 0.748 0.500 0.929
Zn1 0.375 0.000 0.881

## Properties
- energy relative to the elements, uncorrected (eV/atom) = -0.044
- offset from the most stable computed form (meV/atom) = 179.0
- total magnetic moment (μB per cell) = 0.000


(21)
A relaxed structure of TiBeCuS2, computed with PBE.

a b c (Å): 4.614 4.823 4.614
angles (deg): 90.00 90.00 90.00
Each line ends with the local moment (μB).
Positions (direct):
Cu1 0.000 0.500 0.000  0.02
S1 0.000 0.000 0.500  0.08
S2 0.500 0.000 0.000  0.06
Ti1 0.000 0.000 0.000  -0.03
Be1 0.500 0.500 0.500  0.19

## Properties
- energy relative to the elements, uncorrected (eV/atom) = 0.478
- total magnetic moment (μB per cell) = 0.692


(22)
A relaxed structure of BeCuSb2, computed with PBE.

a b c (Å): 5.014 5.014 5.014
angles (deg): 134.75 116.61 81.26
Positions (direct):
Sb1 0.021 0.021 0.000
Sb2 0.479 0.479 0.000
Be1 0.250 0.750 0.500
Cu1 0.750 0.250 0.500

## Properties
- energy relative to the elements, uncorrected (eV/atom) = 0.452
- total magnetic moment (μB per cell) = 0.000


(23)
A relaxed structure of BeCuSb, computed with PBE.

a b c (Å): 3.882 6.810 4.355
angles (deg): 82.39 89.98 89.97
Positions (direct):
Be1 0.386 0.612 0.625
Be2 0.886 0.454 0.461
Cu1 0.386 0.457 0.176
Cu2 0.886 0.609 0.910
Sb1 0.886 0.830 0.361
Sb2 0.386 0.237 0.725

## Properties
- energy relative to the elements, uncorrected (eV/atom) = 0.139
- total magnetic moment (μB per cell) = 0.000


(24)
A relaxed structure of BeCu2Sb, computed with PBE.

a b c (Å): 3.249 3.506 5.156
angles (deg): 90.00 90.00 90.00
Positions (direct):
Cu1 0.500 0.500 0.221
Cu2 0.000 0.000 0.994
Be1 0.500 0.500 0.782
Sb1 0.000 0.000 0.503

## Properties
- energy relative to the elements, uncorrected (eV/atom) = 0.270
- offset from the most stable computed form (meV/atom) = 71.7
- total magnetic moment (μB per cell) = 0.000


(25)
A relaxed structure of BeCu2Sb, computed with PBE.

a b c (Å): 4.398 4.398 4.398
angles (deg): 60.00 60.00 60.00
Positions (direct):
Sb1 0.500 0.500 0.500
Be1 0.000 0.000 0.000
Cu1 0.250 0.250 0.250
Cu2 0.750 0.750 0.750

## Properties
- energy relative to the elements, uncorrected (eV/atom) = 0.422
- offset from the most stable computed form (meV/atom) = 223.8
- total magnetic moment (μB per cell) = 0.000


(26)
A relaxed structure of BeCu2Sb, computed with PBE.

a b c (Å): 3.900 3.154 5.059
angles (deg): 73.65 90.00 90.00
Positions (direct):
Be1 0.500 0.750 0.750
Cu1 0.000 0.894 0.959
Cu2 0.000 0.606 0.541
Sb1 0.500 0.250 0.250

## Properties
- energy relative to the elements, uncorrected (eV/atom) = 0.297
- offset from the most stable computed form (meV/atom) = 98.7
- total magnetic moment (μB per cell) = 0.000


(27)
A relaxed structure of BeCuSb2, computed with PBE.

a b c (Å): 3.316 3.316 7.836
angles (deg): 90.00 90.00 102.04
Positions (direct):
Sb1 0.000 0.000 0.898
Sb2 0.500 0.500 0.355
Be1 0.000 0.000 0.562
Cu1 0.500 0.500 0.686

## Properties
- energy relative to the elements, uncorrected (eV/atom) = 0.192
- total magnetic moment (μB per cell) = 0.000


(28)
A relaxed structure of BeCu3Sb, computed with PBE.

a b c (Å): 4.209 4.209 4.209
angles (deg): 90.00 90.00 90.00
Positions (direct):
Be1 0.000 0.000 0.000
Sb1 0.500 0.500 0.500
Cu1 0.000 0.000 0.500
Cu2 0.000 0.500 0.000
Cu3 0.500 0.000 0.000

## Properties
- energy relative to the elements, uncorrected (eV/atom) = 0.351
- offset from the most stable computed form (meV/atom) = 0.0
- total magnetic moment (μB per cell) = 0.000


| no. | N(E_F) (states/eV per cell) |
| --- | --- |
| 1 | 3.29 |
| 2 | 4.12 |
| 3 | 3.22 |
| 4 | 5.95 |
| 5 | 4.46 |
| 6 | 2.25 |
| 7 | 3.18 |
| 8 | 4.86 |
| 9 | 0.88 |
| 10 | 2.40 |
| 11 | 0.73 |
| 12 | 1.54 |
| 13 | 0.71 |
| 14 | 1.58 |
| 15 | 1.53 |
| 16 | 0.87 |
| 17 | 0.59 |
| 18 | 1.10 |
| 19 | 1.11 |
| 20 | 1.56 |
| 21 | 2.76 |
| 22 | 1.36 |
| 23 | 1.09 |
| 24 | 1.20 |
| 25 | 2.54 |
| 26 | 1.19 |
| 27 | 1.43 |
| 28 | 1.86 |